This record from the Open Quantum Materials Database describes crystalline MoIr2 at its relaxed geometry. The functional is PBE.

Formation energy   3.086 eV/atom
Raw total energy   -6.433 eV/atom
Space group   No. 227

a b c (Å): 7.6010 7.6010 7.6010
angles (deg): 60.00 60.00 60.00
Last column: magnetic moment on the atom in μB.
Element x y z (fractional)
Ir 0.3750 0.3750 0.3750  0.08
Ir 0.8750 0.3750 0.3750  0.05
Ir 0.3750 0.8750 0.3750  0.04
Ir 0.3750 0.3750 0.8750  0.07
Mo 0.2500 0.2500 0.2500  -0.02
Mo 0.5000 0.5000 0.5000  -0.02